one.
First-principles (PBE) data for a geometry-optimized LaTlHgBi structure, as listed in Alexandria.

Summary:
* calculated volume: 118.6 Å³/f.u.
* density: 10.54 g/cm³
* crystal system: orthorhombic
* space group: Pmmm, No. 47
* total moment: 0.0 μB per formula unit

abc: 4.656 4.869 5.232
angles: 90.00 90.00 90.00
Sites, in units of the cell vectors:
La (0.000, 0.000, 0.000)
Tl (0.000, 0.500, 0.500)
Hg (0.500, 0.000, 0.500)
Bi (0.500, 0.500, 0.000)

***

two.
First-principles (PBE) data for a geometry-optimized LaTlHgBi structure, as listed in Alexandria.

Summary:
* calculated volume: 123.2 Å³/f.u.
* density: 10.15 g/cm³
* crystal system: cubic
* space group: F-43m, No. 216
* total moment: 0.0 μB per formula unit

abc: 5.585 5.585 5.585
angles: 60.00 60.00 60.00
Sites, in units of the cell vectors:
La (0.000, 0.000, 0.000)
Tl (0.500, 0.500, 0.500)
Hg (0.750, 0.750, 0.750)
Bi (0.250, 0.250, 0.250)

***

Which structure wins on stability? one wins.

***

one.
First-principles (PBE) data for a geometry-optimized Li3HgBi2 structure, as listed in Alexandria.

Summary:
* calculated volume: 132.9 Å³/f.u.
* density: 7.99 g/cm³
* crystal system: orthorhombic
* space group: Cmmm, No. 65
* total moment: 0.0 μB per formula unit

abc: 8.043 8.043 3.391
angles: 90.00 90.00 142.72
Sites, in units of the cell vectors:
Li (0.000, 0.000, 0.000)
Li (0.339, 0.661, 0.000)
Li (0.661, 0.339, 0.000)
Hg (0.500, 0.500, 0.500)
Bi (0.164, 0.836, 0.500)
Bi (0.836, 0.164, 0.500)

***

two.
First-principles (PBE) data for a geometry-optimized Li3HgBi2 structure, as listed in Alexandria.

Summary:
* calculated volume: 139.7 Å³/f.u.
* density: 7.60 g/cm³
* crystal system: monoclinic
* space group: C2/c, No. 15
* total moment: 0.0 μB per formula unit

abc: 8.287 8.287 6.228
angles: 103.72 103.72 42.50
Sites, in units of the cell vectors:
Li (0.109, 0.891, 0.750)
Li (0.229, 0.439, 0.459)
Li (0.439, 0.229, 0.959)
Li (0.561, 0.771, 0.041)
Li (0.771, 0.561, 0.541)
Li (0.891, 0.109, 0.250)
Hg (0.417, 0.583, 0.250)
Hg (0.583, 0.417, 0.750)
Bi (0.058, 0.267, 0.065)
Bi (0.267, 0.058, 0.565)
Bi (0.733, 0.942, 0.435)
Bi (0.942, 0.733, 0.935)

***

Which structure wins on stability? one wins.

***

one.
First-principles (PBE) data for a geometry-optimized Li2Hg2Bi structure, as listed in Alexandria.

Summary:
* calculated volume: 115.4 Å³/f.u.
* density: 8.98 g/cm³
* crystal system: tetragonal
* space group: I4/mmm, No. 139
* total moment: 0.0 μB per formula unit

abc: 7.324 7.324 7.324
angles: 147.11 147.11 47.21
Sites, in units of the cell vectors:
Li (0.250, 0.750, 0.500)
Li (0.750, 0.250, 0.500)
Hg (0.117, 0.117, 0.000)
Hg (0.883, 0.883, 0.000)
Bi (0.500, 0.500, 0.000)

***

two.
First-principles (PBE) data for a geometry-optimized Li2Hg2Bi structure, as listed in Alexandria.

Summary:
* calculated volume: 122.7 Å³/f.u.
* density: 8.45 g/cm³
* crystal system: monoclinic
* space group: C2/m, No. 12
* total moment: 0.0 μB per formula unit

abc: 4.950 4.950 5.618
angles: 90.06 90.06 117.01
Sites, in units of the cell vectors:
Li (0.001, 0.001, 0.249)
Li (0.999, 0.999, 0.751)
Hg (0.318, 0.682, 0.500)
Hg (0.682, 0.318, 0.500)
Bi (0.500, 0.500, 0.000)

***

Which structure wins on stability? one wins.

***

one.
First-principles (PBE) data for a geometry-optimized Li2Hg2Bi structure, as listed in Alexandria.

Summary:
* calculated volume: 110.0 Å³/f.u.
* density: 9.42 g/cm³
* crystal system: tetragonal
* space group: P4/mbm, No. 127
* total moment: 0.0 μB per formula unit

abc: 7.877 7.877 3.546
angles: 90.00 90.00 90.00
Sites, in units of the cell vectors:
Li (0.147, 0.353, 0.000)
Li (0.353, 0.853, 0.000)
Li (0.647, 0.147, 0.000)
Li (0.853, 0.647, 0.000)
Hg (0.143, 0.643, 0.500)
Hg (0.357, 0.143, 0.500)
Hg (0.643, 0.857, 0.500)
Hg (0.857, 0.357, 0.500)
Bi (0.000, 0.000, 0.000)
Bi (0.500, 0.500, 0.000)

***

two.
First-principles (PBE) data for a geometry-optimized Li2Hg2Bi structure, as listed in Alexandria.

Summary:
* calculated volume: 111.6 Å³/f.u.
* density: 9.29 g/cm³
* crystal system: tetragonal
* space group: P4/mbm, No. 127
* total moment: 0.0 μB per formula unit

abc: 8.144 8.144 3.365
angles: 90.00 90.00 90.00
Sites, in units of the cell vectors:
Li (0.166, 0.334, 0.000)
Li (0.334, 0.834, 0.000)
Li (0.666, 0.166, 0.000)
Li (0.834, 0.666, 0.000)
Hg (0.129, 0.629, 0.500)
Hg (0.371, 0.129, 0.500)
Hg (0.629, 0.871, 0.500)
Hg (0.871, 0.371, 0.500)
Bi (0.000, 0.000, 0.500)
Bi (0.500, 0.500, 0.500)

***

Which structure wins on stability? two wins.

***

one.
First-principles (PBE) data for a geometry-optimized Li4HgBi structure, as listed in Alexandria.

Summary:
* calculated volume: 116.4 Å³/f.u.
* density: 6.24 g/cm³
* crystal system: monoclinic
* space group: C2/m, No. 12
* total moment: 0.0 μB per formula unit

abc: 5.567 5.567 4.636
angles: 113.71 113.71 93.06
Sites, in units of the cell vectors:
Li (0.080, 0.408, 0.245)
Li (0.408, 0.080, 0.245)
Li (0.592, 0.920, 0.755)
Li (0.920, 0.592, 0.755)
Hg (0.000, 0.000, 0.500)
Bi (0.500, 0.500, 0.000)

***

two.
First-principles (PBE) data for a geometry-optimized Li4HgBi structure, as listed in Alexandria.

Summary:
* calculated volume: 118.2 Å³/f.u.
* density: 6.15 g/cm³
* crystal system: monoclinic
* space group: Pm, No. 6
* total moment: 0.0 μB per formula unit

abc: 4.992 5.110 5.230
angles: 90.00 117.66 90.00
Sites, in units of the cell vectors:
Li (0.000, 0.000, 0.000)
Li (0.023, 0.500, 0.704)
Li (0.357, 0.500, 0.382)
Li (0.680, 0.000, 0.327)
Hg (0.316, 0.000, 0.630)
Bi (0.689, 0.500, 0.044)

***

Which structure wins on stability? two wins.

***

one.
First-principles (PBE) data for a geometry-optimized Li2Hg6Bi structure, as listed in Alexandria.

Summary:
* calculated volume: 216.7 Å³/f.u.
* density: 10.93 g/cm³
* crystal system: triclinic
* space group: P-1, No. 2
* total moment: 0.0 μB per formula unit

abc: 3.439 7.608 8.506
angles: 83.43 78.52 89.30
Sites, in units of the cell vectors:
Li (0.062, 0.315, 0.368)
Li (0.938, 0.685, 0.632)
Hg (0.165, 0.960, 0.162)
Hg (0.289, 0.668, 0.921)
Hg (0.439, 0.377, 0.671)
Hg (0.561, 0.623, 0.329)
Hg (0.711, 0.332, 0.079)
Hg (0.835, 0.040, 0.838)
Bi (0.500, 0.000, 0.500)

***

two.
First-principles (PBE) data for a geometry-optimized Li2Hg6Bi structure, as listed in Alexandria.

Summary:
* calculated volume: 224.5 Å³/f.u.
* density: 10.55 g/cm³
* crystal system: monoclinic
* space group: C2/m, No. 12
* total moment: 0.0 μB per formula unit

abc: 7.019 7.019 6.017
angles: 99.46 99.46 50.37
Sites, in units of the cell vectors:
Li (0.096, 0.096, 0.386)
Li (0.904, 0.904, 0.614)
Hg (0.019, 0.524, 0.253)
Hg (0.250, 0.750, 0.000)
Hg (0.476, 0.981, 0.747)
Hg (0.524, 0.019, 0.253)
Hg (0.750, 0.250, 0.000)
Hg (0.981, 0.476, 0.747)
Bi (0.500, 0.500, 0.500)

***

Which structure wins on stability? one wins.

***

one.
First-principles (PBE) data for a geometry-optimized Li2Hg3Bi structure, as listed in Alexandria.

Summary:
* calculated volume: 138.2 Å³/f.u.
* density: 9.91 g/cm³
* crystal system: monoclinic
* space group: P2/m, No. 10
* total moment: 0.0 μB per formula unit

abc: 5.306 3.554 7.788
angles: 90.00 109.72 90.00
Sites, in units of the cell vectors:
Li (0.167, 0.000, 0.334)
Li (0.833, 0.000, 0.666)
Hg (0.317, 0.500, 0.635)
Hg (0.500, 0.000, 0.000)
Hg (0.683, 0.500, 0.365)
Bi (0.000, 0.500, 0.000)

***

two.
First-principles (PBE) data for a geometry-optimized Li2Hg3Bi structure, as listed in Alexandria.

Summary:
* calculated volume: 133.5 Å³/f.u.
* density: 10.25 g/cm³
* crystal system: tetragonal
* space group: P4/mmm, No. 123
* total moment: 0.0 μB per formula unit

abc: 3.339 3.339 11.977
angles: 90.00 90.00 90.00
Sites, in units of the cell vectors:
Li (0.000, 0.000, 0.147)
Li (0.000, 0.000, 0.853)
Hg (0.500, 0.500, 0.000)
Hg (0.500, 0.500, 0.284)
Hg (0.500, 0.500, 0.716)
Bi (0.000, 0.000, 0.500)

***

Which structure wins on stability? two wins.

***

one.
First-principles (PBE) data for a geometry-optimized Mg3Hg4Bi structure, as listed in Alexandria.

Summary:
* calculated volume: 188.2 Å³/f.u.
* density: 9.56 g/cm³
* crystal system: tetragonal
* space group: P4/mmm, No. 123
* total moment: 0.0 μB per formula unit

abc: 4.762 4.762 8.302
angles: 90.00 90.00 90.00
Sites, in units of the cell vectors:
Mg (0.000, 0.000, 0.000)
Mg (0.000, 0.000, 0.500)
Mg (0.500, 0.500, 0.000)
Hg (0.000, 0.500, 0.225)
Hg (0.000, 0.500, 0.775)
Hg (0.500, 0.000, 0.225)
Hg (0.500, 0.000, 0.775)
Bi (0.500, 0.500, 0.500)

***

two.
First-principles (PBE) data for a geometry-optimized Mg3Hg4Bi structure, as listed in Alexandria.

Summary:
* calculated volume: 230.7 Å³/f.u.
* density: 7.80 g/cm³
* crystal system: cubic
* space group: P-43m, No. 215
* total moment: 0.0 μB per formula unit

abc: 6.133 6.133 6.133
angles: 90.00 90.00 90.00
Sites, in units of the cell vectors:
Mg (0.000, 0.000, 0.500)
Mg (0.000, 0.500, 0.000)
Mg (0.500, 0.000, 0.000)
Hg (0.320, 0.320, 0.320)
Hg (0.320, 0.680, 0.680)
Hg (0.680, 0.320, 0.680)
Hg (0.680, 0.680, 0.320)
Bi (0.000, 0.000, 0.000)

***

Which structure wins on stability? one wins.